# PBE-GGA Fe2CoW, optimized geometry
data_Fe2CoW
_cell_length_a 4.5366
_cell_length_b 4.5366
_cell_length_c 4.3678
_cell_angle_alpha 77.89
_cell_angle_beta 77.89
_cell_angle_gamma 34.51
_symmetry_space_group_name_H-M 'P 1'
_symmetry_Int_Tables_number 1
loop_
_symmetry_equiv_pos_as_xyz
'x,y,z'
loop_
_atom_site_label
_atom_site_type_symbol
_atom_site_fract_x
_atom_site_fract_y
_atom_site_fract_z
Co1 Co 0.2500 0.2500 0.2500
Fe1 Fe 0.5100 0.5100 0.4846
Fe2 Fe 0.9900 0.9900 0.0154
W1 W 0.7500 0.7500 0.7500
# Final energy = -9.105 eV/atom
# Space-group type = C2/m, No. 12
# ΔE to the lowest computed polymorph = 11.5 kJ per mole of atoms
# Magnetization = 4.8 μB/cell